1.
A geometry-optimized TbEuErTm structure, computed with PBE.

## Properties
SG ... No. 216
Total energy ... -5.817 eV per atom
DOS at the Fermi energy ... 1.877 states/eV/atom
Calculated density ... 8.2 g/cm3
E_form ... 168 meV per atom

Lattice parameters (Å, degrees): 5.7058 5.7058 5.7058 60.00 60.00 60.00
Sites, in units of the cell vectors:
Tb (0.0000, 0.0000, 0.0000)
Eu (0.2500, 0.2500, 0.2500)
Er (0.7500, 0.7500, 0.7500)
Tm (0.5000, 0.5000, 0.5000)

2.
A geometry-optimized Y3BiPd structure, computed with PBE.

## Properties
SG ... No. 15
Total energy ... -6.261 eV per atom
DOS at the Fermi energy ... 0.968 states/eV/atom
Calculated density ... 6.5 g/cm3
E_form ... -568 meV per atom

Lattice parameters (Å, degrees): 9.3482 9.3482 7.3380 98.98 98.98 70.95
Sites, in units of the cell vectors:
Y (0.0455, 0.2182, 0.0389)
Y (0.1573, 0.6608, 0.5365)
Y (0.2182, 0.0455, 0.5389)
Y (0.3357, 0.4706, 0.0913)
Y (0.3392, 0.8427, 0.9635)
Y (0.4706, 0.3357, 0.5913)
Y (0.5294, 0.6643, 0.4087)
Y (0.6608, 0.1573, 0.0365)
Y (0.6643, 0.5294, 0.9087)
Y (0.7818, 0.9545, 0.4611)
Y (0.8427, 0.3392, 0.4635)
Y (0.9545, 0.7818, 0.9611)
Bi (0.1217, 0.4007, 0.7446)
Bi (0.4007, 0.1217, 0.2446)
Bi (0.5993, 0.8783, 0.7554)
Bi (0.8783, 0.5993, 0.2554)
Pd (0.0454, 0.9546, 0.7500)
Pd (0.2166, 0.7834, 0.2500)
Pd (0.7834, 0.2166, 0.7500)
Pd (0.9546, 0.0454, 0.2500)

3.
A geometry-optimized Ta6Ga3Fe structure, computed with PBE.

## Properties
SG ... No. 14
Total energy ... -8.786 eV per atom
DOS at the Fermi energy ... 0.649 states/eV/atom
Calculated density ... 13.0 g/cm3
E_form ... 80 meV per atom

Lattice parameters (Å, degrees): 4.9555 7.6177 10.2653 90.00 117.21 90.00
Sites, in units of the cell vectors:
Ta (0.0060, 0.1635, 0.4383)
Ta (0.0060, 0.3365, 0.9383)
Ta (0.3630, 0.6909, 0.4271)
Ta (0.3630, 0.8091, 0.9271)
Ta (0.3972, 0.0593, 0.2601)
Ta (0.3972, 0.4407, 0.7601)
Ta (0.6028, 0.5593, 0.2399)
Ta (0.6028, 0.9407, 0.7399)
Ta (0.6370, 0.1909, 0.0729)
Ta (0.6370, 0.3091, 0.5729)
Ta (0.9940, 0.6635, 0.0617)
Ta (0.9940, 0.8365, 0.5617)
Ga (0.0000, 0.0000, 0.0000)
Ga (0.0000, 0.5000, 0.5000)
Ga (0.1443, 0.1161, 0.7629)
Ga (0.1443, 0.3839, 0.2629)
Ga (0.8557, 0.6161, 0.7371)
Ga (0.8557, 0.8839, 0.2371)
Fe (0.5000, 0.0000, 0.5000)
Fe (0.5000, 0.5000, 0.0000)

4.
A geometry-optimized AcNdOs structure, computed with PBE.

## Properties
SG ... No. 71
Total energy ... -6.663 eV per atom
DOS at the Fermi energy ... 1.211 states/eV/atom
Calculated density ... 10.2 g/cm3
E_form ... 39 meV per atom

Lattice parameters (Å, degrees): 7.5617 7.5617 7.5617 148.83 124.46 65.07
Sites, in units of the cell vectors:
Ac (0.2212, 0.2212, 0.0000)
Ac (0.7788, 0.7788, 0.0000)
Nd (0.2625, 0.5000, 0.7625)
Nd (0.7375, 0.5000, 0.2375)
Os (0.3894, 0.8894, 0.5000)
Os (0.6106, 0.1106, 0.5000)